Entry 1:
Density functional theory data (PBE) for crystalline TePRu2 at its relaxed geometry.

```
data_TePRu2
_symmetry_space_group_name_H-M 'P 4 m m'
_symmetry_Int_Tables_number 99
_cell_length_a 3.028
_cell_length_b 3.028
_cell_length_c 7.897
_cell_angle_alpha 90.00
_cell_angle_beta 90.00
_cell_angle_gamma 90.00
loop_
_symmetry_equiv_pos_as_xyz
'x,y,z'
'-y,x,z'
'-x,-y,z'
'y,-x,z'
'-x,y,z'
'y,x,z'
'x,-y,z'
'-y,-x,z'
loop_
_atom_site_label
_atom_site_fract_x
_atom_site_fract_y
_atom_site_fract_z
Te1 0.000 0.000 0.000
P1 0.500 0.500 0.402
Ru1 0.000 0.000 0.546
Ru2 0.500 0.500 0.803
```



Entry 2:
Density functional theory data (PBE) for crystalline TePRu2 at its relaxed geometry.

```
data_TePRu2
_symmetry_space_group_name_H-M 'P m m 2'
_symmetry_Int_Tables_number 25
_cell_length_a 3.091
_cell_length_b 3.736
_cell_length_c 5.810
_cell_angle_alpha 90.00
_cell_angle_beta 90.00
_cell_angle_gamma 90.00
loop_
_symmetry_equiv_pos_as_xyz
'x,y,z'
'-x,-y,z'
'-x,y,z'
'x,-y,z'
loop_
_atom_site_label
_atom_site_fract_x
_atom_site_fract_y
_atom_site_fract_z
Te1 0.000 0.000 0.000
P1 0.500 0.500 0.419
Ru1 0.000 0.000 0.481
Ru2 0.500 0.500 0.805
```



Energy relative to the elements, uncorrected for every record listed, in sequence, given in meV per atom: 40 -56.